LiHg5Pb6 | GGA-PBE | relaxed

Output
Formation energy, eV/atom: -0.011
DFT total energy, eV/atom: -2.151
Space group: C2/m (12)

Cell and atoms, written as CIF:
```
data_LiHg5Pb6
_chemical_formula_sum 'Li1 Hg5 Pb6'
_cell_length_a 3.621
_cell_length_b 10.455
_cell_length_c 10.455
_cell_angle_alpha 114.38
_cell_angle_beta 100.66
_cell_angle_gamma 100.66
_space_group_name_H-M_alt 'P 1'
_space_group_IT_number 1
loop_
_space_group_symop_operation_xyz
'x,y,z'
loop_
_atom_site_label
_atom_site_type_symbol
_atom_site_fract_x
_atom_site_fract_y
_atom_site_fract_z
Pb1 Pb 0.251 0.094 0.424
Pb2 Pb 0.749 0.576 0.906
Pb3 Pb 0.742 0.254 0.254
Pb4 Pb 0.258 0.746 0.746
Pb5 Pb 0.251 0.424 0.094
Pb6 Pb 0.749 0.906 0.576
Hg1 Hg 0.500 0.131 0.869
Hg2 Hg 0.000 0.293 0.707
Hg3 Hg 0.500 0.500 0.500
Hg4 Hg 0.000 0.707 0.293
Hg5 Hg 0.500 0.869 0.131
Li1 Li 0.000 0.000 0.000
```

Li2HgPb | GGA-PBE | relaxed

Output
Formation energy, eV/atom: -0.257
DFT total energy, eV/atom: -2.217
Space group: Imm2 (44)

Cell and atoms, written as CIF:
```
data_Li2HgPb
_chemical_formula_sum 'Li2 Hg1 Pb1'
_cell_length_a 5.856
_cell_length_b 5.856
_cell_length_c 5.856
_cell_angle_alpha 144.02
_cell_angle_beta 132.80
_cell_angle_gamma 60.75
_space_group_name_H-M_alt 'P 1'
_space_group_IT_number 1
loop_
_space_group_symop_operation_xyz
'x,y,z'
loop_
_atom_site_label
_atom_site_type_symbol
_atom_site_fract_x
_atom_site_fract_y
_atom_site_fract_z
Pb1 Pb 0.506 0.506 0.000
Hg1 Hg 0.766 0.266 0.500
Li1 Li 0.985 0.985 0.000
Li2 Li 0.243 0.743 0.500
```

LiHg3Pb | GGA-PBE | relaxed

Output
Formation energy, eV/atom: 0.264
DFT total energy, eV/atom: -1.041
Space group: Pm-3m (221)

Cell and atoms, written as CIF:
```
data_LiHg3Pb
_chemical_formula_sum 'Li1 Hg3 Pb1'
_cell_length_a 5.899
_cell_length_b 5.899
_cell_length_c 5.899
_cell_angle_alpha 90.00
_cell_angle_beta 90.00
_cell_angle_gamma 90.00
_space_group_name_H-M_alt 'P 1'
_space_group_IT_number 1
loop_
_space_group_symop_operation_xyz
'x,y,z'
loop_
_atom_site_label
_atom_site_type_symbol
_atom_site_fract_x
_atom_site_fract_y
_atom_site_fract_z
Pb1 Pb 0.000 0.000 0.000
Hg1 Hg 0.000 0.500 0.000
Hg2 Hg 0.000 0.000 0.500
Hg3 Hg 0.500 0.000 0.000
Li1 Li 0.500 0.500 0.500
```

Li4Hg2Pb5 | GGA-PBE | relaxed

Output
Formation energy, eV/atom: -0.185
DFT total energy, eV/atom: -2.621
Space group: P-1 (2)

Cell and atoms, written as CIF:
```
data_Li4Hg2Pb5
_chemical_formula_sum 'Li4 Hg2 Pb5'
_cell_length_a 5.050
_cell_length_b 9.517
_cell_length_c 6.128
_cell_angle_alpha 84.96
_cell_angle_beta 113.53
_cell_angle_gamma 90.64
_space_group_name_H-M_alt 'P 1'
_space_group_IT_number 1
loop_
_space_group_symop_operation_xyz
'x,y,z'
loop_
_atom_site_label
_atom_site_type_symbol
_atom_site_fract_x
_atom_site_fract_y
_atom_site_fract_z
Li1 Li 0.334 0.278 0.664
Li2 Li 0.956 0.793 0.890
Li3 Li 0.666 0.722 0.336
Li4 Li 0.044 0.207 0.110
Hg1 Hg 0.557 0.344 0.141
Hg2 Hg 0.443 0.656 0.859
Pb1 Pb 0.852 0.461 0.702
Pb2 Pb 0.148 0.539 0.298
Pb3 Pb 0.794 0.099 0.587
Pb4 Pb 0.500 0.000 0.000
Pb5 Pb 0.206 0.901 0.413
```

LiHgPb3 | GGA-PBE | relaxed

Output
Formation energy, eV/atom: 0.120
DFT total energy, eV/atom: -2.548
Space group: Pm-3m (221)

Cell and atoms, written as CIF:
```
data_LiHgPb3
_chemical_formula_sum 'Li1 Hg1 Pb3'
_cell_length_a 5.228
_cell_length_b 5.228
_cell_length_c 5.228
_cell_angle_alpha 90.00
_cell_angle_beta 90.00
_cell_angle_gamma 90.00
_space_group_name_H-M_alt 'P 1'
_space_group_IT_number 1
loop_
_space_group_symop_operation_xyz
'x,y,z'
loop_
_atom_site_label
_atom_site_type_symbol
_atom_site_fract_x
_atom_site_fract_y
_atom_site_fract_z
Pb1 Pb 0.000 0.500 0.000
Pb2 Pb 0.000 0.000 0.500
Pb3 Pb 0.500 0.000 0.000
Hg1 Hg 0.500 0.500 0.500
Li1 Li 0.000 0.000 0.000
```

LiHg3Pb3 | GGA-PBE | relaxed

Output
Formation energy, eV/atom: 0.310
DFT total energy, eV/atom: -1.682
Space group: Pm-3n (223)

Cell and atoms, written as CIF:
```
data_LiHg3Pb3
_chemical_formula_sum 'Li2 Hg6 Pb6'
_cell_length_a 8.288
_cell_length_b 8.288
_cell_length_c 8.288
_cell_angle_alpha 90.00
_cell_angle_beta 90.00
_cell_angle_gamma 90.00
_space_group_name_H-M_alt 'P 1'
_space_group_IT_number 1
loop_
_space_group_symop_operation_xyz
'x,y,z'
loop_
_atom_site_label
_atom_site_type_symbol
_atom_site_fract_x
_atom_site_fract_y
_atom_site_fract_z
Pb1 Pb 0.000 0.250 0.500
Pb2 Pb 0.000 0.750 0.500
Pb3 Pb 0.500 0.000 0.750
Pb4 Pb 0.750 0.500 0.000
Pb5 Pb 0.500 0.000 0.250
Pb6 Pb 0.250 0.500 0.000
Hg1 Hg 0.250 0.000 0.500
Hg2 Hg 0.000 0.500 0.250
Hg3 Hg 0.500 0.750 0.000
Hg4 Hg 0.750 0.000 0.500
Hg5 Hg 0.000 0.500 0.750
Hg6 Hg 0.500 0.250 0.000
Li1 Li 0.500 0.500 0.500
Li2 Li 0.000 0.000 0.000
```

LiHg2Pb | GGA-PBE | relaxed

Output
Formation energy, eV/atom: -0.135
DFT total energy, eV/atom: -1.692
Space group: I4/mmm (139)

Cell and atoms, written as CIF:
```
data_LiHg2Pb
_chemical_formula_sum 'Li1 Hg2 Pb1'
_cell_length_a 5.673
_cell_length_b 5.673
_cell_length_c 5.673
_cell_angle_alpha 132.98
_cell_angle_beta 132.98
_cell_angle_gamma 68.68
_space_group_name_H-M_alt 'P 1'
_space_group_IT_number 1
loop_
_space_group_symop_operation_xyz
'x,y,z'
loop_
_atom_site_label
_atom_site_type_symbol
_atom_site_fract_x
_atom_site_fract_y
_atom_site_fract_z
Pb1 Pb 0.750 0.250 0.500
Hg1 Hg 0.000 0.000 0.000
Hg2 Hg 0.500 0.500 0.000
Li1 Li 0.250 0.750 0.500
```

LiHg14Pb | GGA-PBE | relaxed

Output
Formation energy, eV/atom: -0.025
DFT total energy, eV/atom: -0.640
Space group: Amm2 (38)

Cell and atoms, written as CIF:
```
data_LiHg14Pb
_chemical_formula_sum 'Li1 Hg14 Pb1'
_cell_length_a 7.198
_cell_length_b 6.562
_cell_length_c 10.684
_cell_angle_alpha 90.00
_cell_angle_beta 90.00
_cell_angle_gamma 123.26
_space_group_name_H-M_alt 'P 1'
_space_group_IT_number 1
loop_
_space_group_symop_operation_xyz
'x,y,z'
loop_
_atom_site_label
_atom_site_type_symbol
_atom_site_fract_x
_atom_site_fract_y
_atom_site_fract_z
Li1 Li 0.686 0.372 0.500
Hg1 Hg 0.131 0.263 0.000
Hg2 Hg 0.614 0.229 0.000
Hg3 Hg 0.670 0.865 0.500
Hg4 Hg 0.653 0.753 0.000
Hg5 Hg 0.195 0.865 0.500
Hg6 Hg 0.100 0.753 0.000
Hg7 Hg 0.829 0.195 0.746
Hg8 Hg 0.829 0.195 0.254
Hg9 Hg 0.365 0.195 0.746
Hg10 Hg 0.365 0.195 0.254
Hg11 Hg 0.337 0.674 0.772
Hg12 Hg 0.337 0.674 0.228
Hg13 Hg 0.852 0.703 0.728
Hg14 Hg 0.852 0.703 0.272
Pb1 Pb 0.184 0.368 0.500
```